Record 1
HgIr15 | GGA-PBE | relaxed Values from VASP.

Quantum ESPRESSO input file:
```
&SYSTEM
  ibrav = 0, nat = 32, ntyp = 2
/
ATOMIC_SPECIES
Hg 200.59 Hg.upf
Ir 192.22 Ir.upf
ATOMIC_POSITIONS angstrom
Hg 18.2638 -17.4030 -2.6651
Hg 6.3182 -9.0422 -2.4463
Ir 0.7586 -7.3101 0.4958
Ir 23.8234 -19.1351 -5.6072
Ir -0.5283 -3.9611 -0.9348
Ir 19.1691 -18.5565 -5.2997
Ir 1.1164 -4.6757 1.1194
Ir 18.2758 -20.3384 -3.3513
Ir 25.6368 -23.3838 -6.7080
Ir 5.0299 -10.4792 -0.4477
Ir 3.8019 -7.1751 -1.8905
Ir 2.9239 -8.9185 0.0188
Ir 23.4656 -21.7695 -6.2308
Ir -1.0548 -3.0614 1.5966
Ir -0.1769 -1.3203 -0.3111
Ir 22.9513 -20.8833 -3.6989
Ir 3.2736 -6.2768 0.6433
Ir 21.6580 -17.5268 -5.1302
Ir 20.4346 -21.9168 -3.8448
Ir 19.5521 -15.9660 -4.6637
Ir 4.1474 -4.5284 -1.2666
Ir 25.1103 -22.4841 -4.1766
Ir 24.7588 -25.1249 -4.8003
Ir 22.5928 -23.5194 -4.3207
Ir 21.3084 -20.1684 -5.7547
Ir 1.9892 -2.9258 -0.7907
Ir 25.9954 -20.7481 -6.0859
Ir 1.6307 -5.5620 -1.4125
Ir -1.4134 -5.6971 0.9745
Ir 20.7801 -19.2701 -3.2209
Ir 6.3062 -6.1068 -1.7601
Ir 5.4129 -7.8887 0.1883
CELL_PARAMETERS angstrom
-1.7495 -3.4902 3.8163
-2.0118 -1.9154 -2.6740
28.3433 -21.0396 -6.2538
```

The energy above the most stable polymorph in this dataset is 0.062 eV/atom. Its energy of formation is 0.189 eV/atom.

Record 2
K2ZnSe2O6 | GGA-PBE | relaxed Values from VASP.

Quantum ESPRESSO input file:
```
&SYSTEM
  ibrav = 0, nat = 11, ntyp = 4
/
ATOMIC_SPECIES
O 16.00 O.upf
Se 78.96 Se.upf
K 39.10 K.upf
Zn 65.41 Zn.upf
ATOMIC_POSITIONS angstrom
O -8.8817 -6.1858 1.6408
O -6.3461 -2.7880 3.3094
O -9.7925 -3.9574 2.8789
O -5.4353 -5.0165 2.0713
O -8.2924 -5.7484 4.2465
O -6.9354 -3.2255 0.7037
Se -5.6373 -3.3221 1.8326
Se -9.5905 -5.6517 3.1176
K -2.9792 -1.7556 0.9685
K -12.2486 -7.2182 3.9817
Zn 0.0000 0.0000 0.0000
CELL_PARAMETERS angstrom
-6.5048 -2.0656 -1.0674
-3.4272 -5.7402 1.7387
-5.2958 -1.1680 4.2788
```

The energy above the most stable polymorph in this dataset is 0.000 eV/atom.

Record 3
NaRePbW | GGA-PBE | relaxed Values from VASP.

Quantum ESPRESSO input file:
```
&SYSTEM
  ibrav = 0, nat = 4, ntyp = 4
/
ATOMIC_SPECIES
Pb 207.20 Pb.upf
Re 186.21 Re.upf
W 183.84 W.upf
Na 22.99 Na.upf
ATOMIC_POSITIONS angstrom
Pb 0.0000 0.0000 0.0000
Re 2.8361 0.3236 4.9388
W 1.4181 0.1618 2.4694
Na 4.2542 0.4854 7.4081
CELL_PARAMETERS angstrom
4.1584 -0.5007 2.0373
1.2325 2.8147 3.5002
0.2814 -1.6667 4.3400
```

The energy above the most stable polymorph in this dataset is 0.099 eV/atom.